Version i
TeMo3As: relaxed, PBE.

```
TeMo3As
1.0
4.6883 0.0000 0.0000
0.0000 4.6883 0.0000
0.0000 0.0000 4.6883
Mo As Te
3 1 1
direct
0.0000 0.5000 0.0000 Mo
0.0000 0.0000 0.5000 Mo
0.5000 0.0000 0.0000 Mo
0.0000 0.0000 0.0000 As
0.5000 0.5000 0.5000 Te
```

Properties
**Calculated volume**: 20.6 A^3/atom
**Space-group type**: No. 221
**Crystal system**: cubic

***

Version ii
TeMo3As: relaxed, PBE.

```
TeMo3As
1.0
-3.2122 -3.6908 -0.3492
3.6728 -3.1054 -0.9635
0.5039 -0.8924 4.7970
Te Mo As
1 3 1
direct
0.0000 0.0000 0.0000 Te
0.5000 0.0000 0.0000 Mo
0.0000 0.0000 0.5000 Mo
0.0000 0.5000 0.0000 Mo
0.5000 0.5000 0.5000 As
```

Properties
**Calculated volume**: 23.6 A^3/atom
**Space-group type**: No. 221
**Crystal system**: cubic

***

Least stable = version ii

***

Version i
TiMoAs2: relaxed, PBE.

```
TiMoAs2
1.0
3.2944 0.0000 0.0000
0.0000 7.4364 -0.5314
-1.6472 -1.8821 5.6435
As Ti Mo
4 2 2
direct
0.3803 0.1295 0.2607 As
0.1197 0.3705 0.7393 As
0.8803 0.6295 0.2607 As
0.6197 0.8705 0.7393 As
0.7500 0.2500 0.0000 Ti
0.2500 0.7500 0.0000 Ti
0.0000 0.0000 0.5000 Mo
0.5000 0.5000 0.5000 Mo
```

Properties
**Calculated volume**: 16.9 A^3/atom
**Space-group type**: No. 12
**Crystal system**: monoclinic

***

Version ii
TiMoAs2: relaxed, PBE.

```
TiMoAs2
1.0
-0.6152 2.9488 -1.6104
-2.1052 2.3004 1.3941
4.2781 4.5678 3.1072
As Ti Mo
2 1 1
direct
0.0847 0.0847 0.7458 As
0.2490 0.2490 0.2529 As
0.6659 0.6659 0.0024 Ti
0.5004 0.5004 0.4989 Mo
```

Properties
**Calculated volume**: 16.9 A^3/atom
**Space-group type**: No. 160
**Crystal system**: trigonal

***

Least stable = version i

***

Version i
TiMoAs2: relaxed, PBE.

```
TiMoAs2
1.0
3.3431 0.0016 0.0002
1.6700 2.8961 0.0006
-0.0004 -0.0013 6.8607
As Mo Ti
2 1 1
direct
0.3402 0.7732 0.6706 As
0.0069 0.4399 0.1691 As
0.6735 0.1066 0.9198 Mo
0.6736 0.1065 0.4198 Ti
```

Properties
**Calculated volume**: 16.6 A^3/atom
**Space-group type**: No. 164
**Crystal system**: trigonal

***

Version ii
TiMoAs2: relaxed, PBE.

```
TiMoAs2
1.0
5.7130 0.0000 0.0000
0.0000 5.7130 0.0000
2.8565 2.8565 5.8165
As Mo Ti
4 2 2
direct
0.8750 0.8804 0.7500 As
0.6304 0.1250 0.2500 As
0.1196 0.6250 0.2500 As
0.3750 0.3696 0.7500 As
0.7500 0.2500 0.5000 Mo
0.0000 0.0000 0.0000 Mo
0.2500 0.7500 0.5000 Ti
0.5000 0.5000 0.0000 Ti
```

Properties
**Calculated volume**: 23.7 A^3/atom
**Space-group type**: No. 122
**Crystal system**: tetragonal

***

Version iii
TiMoAs2: relaxed, PBE.

```
TiMoAs2
1.0
3.9029 -1.8766 1.0563
0.2415 -4.3947 0.7053
2.0833 -2.6187 -2.9447
Ti As Mo
1 2 1
direct
0.0000 0.0000 0.0000 Ti
0.2500 0.2500 0.2500 As
0.7500 0.7500 0.7500 As
0.5000 0.5000 0.5000 Mo
```

Properties
**Calculated volume**: 15.7 A^3/atom
**Space-group type**: No. 225
**Crystal system**: cubic

***

Least stable = version ii

***

Version i
TiMoAs2: relaxed, PBE.

```
TiMoAs2
1.0
3.3935 0.0000 0.0000
0.0000 6.1123 0.0000
0.0000 0.0000 6.4874
Ti Mo As
2 2 4
direct
0.0000 0.0050 0.5656 Ti
0.0000 0.5050 0.4344 Ti
0.5000 0.9919 0.9379 Mo
0.5000 0.4919 0.0621 Mo
0.5000 0.8064 0.3164 As
0.0000 0.1966 0.1778 As
0.0000 0.6966 0.8222 As
0.5000 0.3064 0.6836 As
```

Properties
**Calculated volume**: 16.8 A^3/atom
**Space-group type**: No. 26
**Crystal system**: orthorhombic

***

Version ii
TiMoAs2: relaxed, PBE.

```
TiMoAs2
1.0
-0.5561 -0.0053 3.7238
-0.5912 -3.2479 1.8105
5.2240 -1.6387 2.6812
Ti As Mo
1 2 1
direct
0.5000 0.5000 0.5000 Ti
0.2504 0.2504 0.2489 As
0.7496 0.7496 0.7511 As
0.0000 0.0000 0.0000 Mo
```

Properties
**Calculated volume**: 17.5 A^3/atom
**Space-group type**: No. 166
**Crystal system**: trigonal

***

Least stable = version ii

***

Version i
TiMo3As: relaxed, PBE.

```
TiMo3As
1.0
-3.1543 1.7044 -2.8684
-2.5962 -3.7332 0.6367
-2.0958 2.0593 3.5283
Mo Ti As
3 1 1
direct
0.5000 0.0000 0.0000 Mo
0.0000 0.0000 0.5000 Mo
0.0000 0.5000 0.0000 Mo
0.5000 0.5000 0.5000 Ti
0.0000 0.0000 0.0000 As
```

Properties
**Calculated volume**: 19.4 A^3/atom
**Space-group type**: No. 221
**Crystal system**: cubic

***

Version ii
TiMo3As: relaxed, PBE.

```
TiMo3As
1.0
4.5922 0.0000 0.0000
0.0000 4.5922 0.0000
0.0000 0.0000 4.5922
Mo As Ti
3 1 1
direct
0.0000 0.0000 0.5000 Mo
0.0000 0.5000 0.0000 Mo
0.5000 0.0000 0.0000 Mo
0.5000 0.5000 0.5000 As
0.0000 0.0000 0.0000 Ti
```

Properties
**Calculated volume**: 19.4 A^3/atom
**Space-group type**: No. 221
**Crystal system**: cubic

***

Least stable = version ii

***

Version i
TlMo2As: relaxed, PBE.

```
TlMo2As
1.0
5.1622 -0.0023 0.0000
1.9504 4.7796 0.0000
-3.5563 -2.3887 2.8802
Mo Tl As
2 1 1
direct
0.2500 0.7500 0.5000 Mo
0.0000 0.0000 0.0000 Mo
0.5000 0.5000 0.0000 Tl
0.7500 0.2500 0.5000 As
```

Properties
**Calculated volume**: 17.8 A^3/atom
**Space-group type**: No. 119
**Crystal system**: tetragonal

***

Version ii
TlMo2As: relaxed, PBE.

```
TlMo2As
1.0
-0.1019 -0.8270 -4.0663
1.1840 -3.9043 0.7644
-8.5175 -4.9648 -0.8954
Mo As Tl
4 2 2
direct
0.2041 0.6250 0.2500 Mo
0.5459 0.1250 0.2500 Mo
0.8750 0.7959 0.7500 Mo
0.3750 0.4541 0.7500 Mo
0.2500 0.7500 0.5000 As
0.5000 0.5000 0.0000 As
0.0000 0.0000 0.0000 Tl
0.7500 0.2500 0.5000 Tl
```

Properties
**Calculated volume**: 20.4 A^3/atom
**Space-group type**: No. 122
**Crystal system**: tetragonal

***

Version iii
TlMo2As: relaxed, PBE.

```
TlMo2As
1.0
-2.5717 1.3491 -1.2532
0.9481 -0.8752 -2.8878
-3.5347 -6.0993 0.6879
Tl Mo As
1 2 1
direct
0.5000 0.5000 0.2500 Tl
0.0000 0.0000 0.9437 Mo
0.0000 0.0000 0.5563 Mo
0.5000 0.5000 0.7500 As
```

Properties
**Calculated volume**: 17.7 A^3/atom
**Space-group type**: No. 123
**Crystal system**: tetragonal

***

Least stable = version ii

***

Version i
TlMoAs2: relaxed, PBE.

```
TlMoAs2
1.0
-0.7704 3.1453 7.9633
-4.6492 0.5991 7.2060
3.9491 -3.6629 -6.6998
Mo As Tl
1 2 1
direct
0.5467 0.5467 0.0000 Mo
0.9785 0.9785 0.0000 As
0.6633 0.1633 0.5000 As
0.3116 0.8116 0.5000 Tl
```

Properties
**Calculated volume**: 22.8 A^3/atom
**Space-group type**: No. 44
**Crystal system**: orthorhombic

***

Version ii
TlMoAs2: relaxed, PBE.

```
TlMoAs2
1.0
4.5843 0.0000 0.0000
0.0000 3.6097 0.1527
0.0000 1.5959 4.8988
As Tl Mo
2 1 1
direct
0.0000 0.0199 0.0863 As
0.5000 0.4429 0.2368 As
0.5000 0.7175 0.6895 Tl
0.0000 0.3197 0.4873 Mo
```

Properties
**Calculated volume**: 20.0 A^3/atom
**Space-group type**: No. 38
**Crystal system**: orthorhombic

***

Version iii
TlMoAs2: relaxed, PBE.

```
TlMoAs2
1.0
4.7837 0.0000 0.0000
0.0000 4.1314 0.0000
0.0000 0.0000 4.1314
As Mo Tl
2 1 1
direct
0.0000 0.5000 0.5000 As
0.0000 0.0000 0.0000 As
0.5000 0.5000 0.0000 Mo
0.5000 0.0000 0.5000 Tl
```

Properties
**Calculated volume**: 20.4 A^3/atom
**Space-group type**: No. 123
**Crystal system**: tetragonal

***

Least stable = version iii

***

Version i
TlMoAs: relaxed, PBE.

```
TlMoAs
1.0
-3.1860 0.2535 -0.5084
1.1114 -0.8176 2.9274
0.2420 6.4953 1.7222
As Mo Tl
1 1 1
direct
0.0000 0.0000 0.0493 As
0.3333 0.6667 0.2994 Mo
0.6667 0.3333 0.6513 Tl
```

Properties
**Calculated volume**: 20.3 A^3/atom
**Space-group type**: No. 156
**Crystal system**: trigonal

***

Version ii
TlMoAs: relaxed, PBE.

```
TlMoAs
1.0
-1.2861 3.9200 -1.8584
-0.8344 0.2323 -4.4412
-4.2444 0.5171 -1.4806
Mo As Tl
1 1 1
direct
0.7500 0.7500 0.7500 Mo
0.5000 0.5000 0.5000 As
0.0000 0.0000 0.0000 Tl
```

Properties
**Calculated volume**: 21.8 A^3/atom
**Space-group type**: No. 216
**Crystal system**: cubic

***

Least stable = version ii